Below is ZnBi6P2O15 at its PBEsol-relaxed geometry, with properties calculated at the SCAN level.

Cell lengths 8.0646, 8.0646, 16.9884 Å; angles 103.82, 103.82, 39.23 degrees
Sites, in units of the cell vectors:
1 Zn 0.1899 0.1899 0.2709
2 Zn 0.8101 0.8101 0.7291
3 Bi 0.0331 0.1152 0.4259
4 Bi 0.0950 0.1843 0.7428
5 Bi 0.2714 0.3101 0.1105
6 Bi 0.3676 0.4383 0.4100
7 Bi 0.4107 0.5348 0.7566
8 Bi 0.4652 0.5893 0.2434
9 Bi 0.5617 0.6324 0.5900
10 Bi 0.6899 0.7286 0.8895
11 Bi 0.8157 0.9050 0.2572
12 Bi 0.8848 0.9669 0.5741
13 Bi 0.9459 0.0100 0.0940
14 Bi 0.9900 0.0541 0.9060
15 P 0.2888 0.2794 0.6012
16 P 0.3795 0.3415 0.9276
17 P 0.6585 0.6205 0.0724
18 P 0.7206 0.7112 0.3988
19 O 0.0906 0.5608 0.6475
20 O 0.1044 0.6156 0.9511
21 O 0.1301 0.0108 0.2081
22 O 0.1457 0.6686 0.1613
23 O 0.1807 0.1772 0.5862
24 O 0.1989 0.7522 0.3369
25 O 0.2201 0.7799 0.5000
26 O 0.2478 0.8011 0.6631
27 O 0.3314 0.8543 0.8387
28 O 0.3484 0.2493 0.2410
29 O 0.3574 0.2826 0.5253
30 O 0.3594 0.1891 0.8581
31 O 0.3844 0.8956 0.0489
32 O 0.4392 0.9094 0.3525
33 O 0.5264 0.3677 0.8972
34 O 0.5466 0.1672 0.0006
35 O 0.5480 0.1016 0.6601
36 O 0.6323 0.4736 0.1028
37 O 0.6541 0.1648 0.1654
38 O 0.6986 0.2440 0.3393
39 O 0.7119 0.2881 0.5000
40 O 0.7174 0.6426 0.4747
41 O 0.7507 0.6516 0.7590
42 O 0.7560 0.3014 0.6607
43 O 0.8109 0.6406 0.1419
44 O 0.8228 0.8193 0.4138
45 O 0.8328 0.4534 0.9994
46 O 0.8352 0.3459 0.8346
47 O 0.8984 0.4520 0.3399
48 O 0.9892 0.8699 0.7919

Summary:
Uncorrected energy   -26.639 eV/atom
Theoretical density   7.97 g/cm³
Crystal system   monoclinic